Entry from the Alexandria database: a relaxed Tm4HfSc6 crystal (PBE).

**Spin magnetization**: 1.03 μB per formula unit
**Space group**: P4/mnc (128)
**Total DFT energy (no corrections)**: -5.848 eV per atom
**Energy relative to the elements**: 137 meV per atom

Cell and atoms, written as POSCAR:
```
Tm4HfSc6
1.0
8.359 0.000 0.000
0.000 8.359 0.000
0.000 0.000 8.192
Tm Hf Sc
8 2 12
Direct
0.351 0.149 0.250
0.149 0.649 0.750
0.649 0.851 0.750
0.851 0.351 0.750
0.351 0.149 0.750
0.149 0.649 0.250
0.851 0.351 0.250
0.649 0.851 0.250
0.500 0.500 0.000
0.000 0.000 0.500
0.349 0.850 0.500
0.849 0.650 0.000
0.650 0.151 0.000
0.150 0.349 0.500
0.000 0.000 0.166
0.500 0.500 0.334
0.350 0.849 0.000
0.000 0.000 0.834
0.151 0.350 0.000
0.500 0.500 0.666
0.850 0.651 0.500
0.651 0.150 0.500
```

---

Entry from the Alexandria database: a relaxed TmHfSc2 crystal (PBE).

**Spin magnetization**: 0.00 μB per formula unit
**Space group**: R-3m (166)
**Energy above the lowest structure with this stoichiometry**: 13 meV per atom
**Total DFT energy (no corrections)**: -6.702 eV per atom
**Energy relative to the elements**: 70 meV per atom

Cell and atoms, written as POSCAR:
```
TmHfSc2
1.0
-1.072 -3.043 0.574
0.248 -1.285 3.004
-9.980 2.442 3.655
Sc Tm Hf
2 1 1
Direct
0.245 0.245 0.265
0.755 0.755 0.735
0.000 0.000 0.000
0.500 0.500 0.500
```

---

D(E_F) readings, ordered: 27.93 5.99 states/eV/cell